(1)
! MnTeAu2 (GGA-PBEsol, relaxed); values from VASP
&SYSTEM
  ibrav = 0, nat = 4, ntyp = 3
/
ATOMIC_SPECIES
Mn 54.94 Mn.upf
Te 127.60 Te.upf
Au 196.97 Au.upf
ATOMIC_POSITIONS crystal
Mn 0.000 0.000 0.000
Te 0.000 0.000 0.500
Au 0.500 0.500 0.199
Au 0.500 0.500 0.801
CELL_PARAMETERS angstrom
3.035 0.000 0.000
0.000 3.035 0.000
0.000 0.000 8.376
! **Formation energy from raw total energies**: 68 kJ/mol of formula units

=====

(2)
! Cr2InAg (GGA-PBEsol, relaxed); values from VASP
&SYSTEM
  ibrav = 0, nat = 4, ntyp = 3
/
ATOMIC_SPECIES
Cr 52.00 Cr.upf
In 114.82 In.upf
Ag 107.87 Ag.upf
ATOMIC_POSITIONS crystal
Cr 0.000 0.000 0.000
Cr 0.750 0.250 0.500
In 0.500 0.500 0.000
Ag 0.250 0.750 0.500
CELL_PARAMETERS angstrom
-2.010 2.010 3.981
2.010 -2.010 3.981
2.010 2.010 -3.981
! **Energy of formation**: 387 meV per atom